Run P
GaAgPd6: relaxed, GGA-PBE.

Cell and atoms, written as POSCAR:
```
GaAgPd6
1.0
-0.0538 3.0274 2.6373
-3.6220 -1.1747 1.2745
3.3220 -4.5289 5.2666
Ga Pd Ag
1 6 1
Direct
0.0000 0.0000 0.5000 Ga
0.5000 0.5000 0.0000 Pd
0.0000 0.5000 0.2604 Pd
0.0000 0.5000 0.7396 Pd
0.5000 0.5000 0.5000 Pd
0.5000 0.0000 0.2604 Pd
0.5000 0.0000 0.7396 Pd
0.0000 0.0000 0.0000 Ag
```

Summary:
* calculated volume: 124 Å³ per cell
* crystal system: tetragonal
* SG: P4/mmm, No. 123
* total magnetic moment: 0.0 Bohr magnetons per cell



Run Q
GaAgPd6: relaxed, GGA-PBE.

Cell and atoms, written as POSCAR:
```
GaAgPd6
1.0
-4.4455 0.7091 5.1776
5.7994 -2.9385 2.1920
4.2728 10.1344 2.2807
Ag Pd Ga
4 24 4
Direct
0.5000 0.5000 0.9990 Ag
0.2540 0.7460 0.2500 Ag
0.7460 0.2540 0.2500 Ag
0.5000 0.5000 0.5010 Ag
0.1201 0.3668 0.1218 Pd
0.7507 0.2493 0.9948 Pd
0.6332 0.8799 0.1218 Pd
0.5000 0.5000 0.2500 Pd
0.3705 0.1177 0.8721 Pd
0.3705 0.1177 0.6279 Pd
0.0000 0.0000 0.7500 Pd
0.8799 0.6332 0.3782 Pd
0.6295 0.8823 0.8721 Pd
0.2493 0.7507 0.9948 Pd
0.1177 0.3705 0.6279 Pd
0.0000 0.0000 0.2500 Pd
0.1201 0.3668 0.3782 Pd
0.5000 0.5000 0.7500 Pd
0.6332 0.8799 0.3782 Pd
0.1177 0.3705 0.8721 Pd
0.8799 0.6332 0.1218 Pd
0.8823 0.6295 0.8721 Pd
0.7507 0.2493 0.5052 Pd
0.3668 0.1201 0.3782 Pd
0.2493 0.7507 0.5052 Pd
0.3668 0.1201 0.1218 Pd
0.8823 0.6295 0.6279 Pd
0.6295 0.8823 0.6279 Pd
0.0000 0.0000 0.9994 Ga
0.0000 0.0000 0.5006 Ga
0.2560 0.7440 0.7500 Ga
0.7440 0.2560 0.7500 Ga
```

Summary:
* calculated volume: 495 Å³ per cell
* crystal system: orthorhombic
* SG: Cmmm, No. 65
* total magnetic moment: 0.0 Bohr magnetons per cell



Top of the stability list: run Q, leading by 13 meV/atom.



Run P
Ga8AgPd2: relaxed, GGA-PBE.

Cell and atoms, written as POSCAR:
```
Ga8AgPd2
1.0
-2.6662 1.1805 -3.3222
4.5676 -6.3657 -5.9276
-4.3196 -0.2985 6.3012
Ga Pd Ag
8 2 1
Direct
0.1681 0.1432 0.3362 Ga
0.3391 0.0534 0.6782 Ga
0.0561 0.6976 0.1122 Ga
0.6411 0.4195 0.2822 Ga
0.6609 0.9466 0.3218 Ga
0.3589 0.5805 0.7178 Ga
0.9439 0.3024 0.8878 Ga
0.8319 0.8568 0.6638 Ga
0.2075 0.6365 0.4149 Pd
0.7925 0.3635 0.5851 Pd
0.5000 0.0000 0.0000 Ag
```

Summary:
* calculated volume: 204 Å³ per cell
* crystal system: monoclinic
* SG: C2/m, No. 12
* total magnetic moment: 0.0 Bohr magnetons per cell



Run Q
Ga8AgPd2: relaxed, GGA-PBE.

Cell and atoms, written as POSCAR:
```
Ga8AgPd2
1.0
-3.3547 -3.8217 0.1180
0.9919 -3.0543 6.1236
-4.2446 1.5152 5.2439
Ga Pd Ag
8 2 1
Direct
0.2805 0.8172 0.3827 Ga
0.2805 0.3827 0.8172 Ga
0.2363 0.4139 0.4139 Ga
0.7637 0.5861 0.5861 Ga
0.7195 0.6173 0.1828 Ga
0.5837 0.1934 0.1934 Ga
0.7195 0.1828 0.6173 Ga
0.4163 0.8066 0.8066 Ga
0.9442 0.7676 0.7676 Pd
0.0558 0.2324 0.2324 Pd
0.0000 0.0000 0.0000 Ag
```

Summary:
* calculated volume: 203 Å³ per cell
* crystal system: monoclinic
* SG: C2/m, No. 12
* total magnetic moment: 0.0 Bohr magnetons per cell



Top of the stability list: run P, leading by 13 meV/atom.



Run P
GaAg3Pd6: relaxed, GGA-PBE.

Cell and atoms, written as POSCAR:
```
GaAg3Pd6
1.0
4.0991 0.0000 0.0000
0.0000 8.5064 -1.5598
0.0000 0.9994 8.9941
Pd Ag Ga
12 6 2
Direct
0.7500 0.1191 0.6723 Pd
0.7500 0.8439 0.8127 Pd
0.2500 0.8809 0.3277 Pd
0.2500 0.6530 0.7052 Pd
0.2500 0.0433 0.8923 Pd
0.7500 0.3470 0.2948 Pd
0.7500 0.7791 0.5121 Pd
0.2500 0.2209 0.4879 Pd
0.7500 0.9567 0.1077 Pd
0.7500 0.5486 0.9023 Pd
0.2500 0.1561 0.1873 Pd
0.2500 0.4514 0.0977 Pd
0.2500 0.3416 0.7887 Ag
0.7500 0.4447 0.5957 Ag
0.2500 0.7532 0.0127 Ag
0.2500 0.5553 0.4043 Ag
0.7500 0.2468 0.9873 Ag
0.7500 0.6584 0.2113 Ag
0.2500 0.9341 0.6234 Ga
0.7500 0.0659 0.3766 Ga
```

Summary:
* calculated volume: 320 Å³ per cell
* crystal system: monoclinic
* SG: P2_1/m, No. 11
* total magnetic moment: 0.0 Bohr magnetons per cell



Run Q
GaAg3Pd6: relaxed, GGA-PBE.

Cell and atoms, written as POSCAR:
```
GaAg3Pd6
1.0
-4.1042 3.9484 3.0302
-3.2563 -5.8123 3.1632
3.7604 1.1811 6.0412
Pd Ag Ga
12 6 2
Direct
0.2190 0.6628 0.7486 Pd
0.2810 0.1628 0.7514 Pd
0.7810 0.3372 0.2514 Pd
0.1427 0.3733 0.4767 Pd
0.6427 0.1267 0.9767 Pd
0.1973 0.2417 0.1234 Pd
0.3573 0.8733 0.0233 Pd
0.8027 0.7583 0.8766 Pd
0.7190 0.8372 0.2486 Pd
0.6973 0.2583 0.6234 Pd
0.3027 0.7417 0.3766 Pd
0.8573 0.6267 0.5233 Pd
0.0000 0.0000 0.5000 Ag
0.5601 0.8912 0.6387 Ag
0.5000 0.5000 0.0000 Ag
0.0601 0.6088 0.1387 Ag
0.4399 0.1088 0.3613 Ag
0.9399 0.3912 0.8613 Ag
0.5000 0.5000 0.5000 Ga
0.0000 0.0000 0.0000 Ga
```

Summary:
* calculated volume: 339 Å³ per cell
* crystal system: monoclinic
* SG: P2_1/c, No. 14
* total magnetic moment: 0.0 Bohr magnetons per cell



Top of the stability list: run P, leading by 126 meV/atom.



Run P
Ga2AgPd8: relaxed, GGA-PBE.

Cell and atoms, written as POSCAR:
```
Ga2AgPd8
1.0
-3.8206 -0.2635 1.3651
0.5590 -6.3787 0.3332
3.8555 2.9979 5.3147
Pd Ga Ag
8 2 1
Direct
0.3961 0.5290 0.7922 Pd
0.6039 0.4710 0.2078 Pd
0.0428 0.7268 0.0856 Pd
0.3201 0.0745 0.6401 Pd
0.1533 0.2202 0.3065 Pd
0.8467 0.7798 0.6935 Pd
0.9572 0.2732 0.9144 Pd
0.6799 0.9255 0.3599 Pd
0.7815 0.3394 0.5629 Ga
0.2185 0.6606 0.4371 Ga
0.5000 0.0000 0.0000 Ag
```

Summary:
* calculated volume: 170 Å³ per cell
* crystal system: monoclinic
* SG: C2/m, No. 12
* total magnetic moment: 0.0 Bohr magnetons per cell



Run Q
Ga2AgPd8: relaxed, GGA-PBE.

Cell and atoms, written as POSCAR:
```
Ga2AgPd8
1.0
-2.1052 -0.2802 -1.9923
-3.2600 -4.5570 4.0754
-7.5524 3.1448 5.4106
Pd Ga Ag
8 2 1
Direct
0.8192 0.0801 0.3302 Pd
0.5452 0.7287 0.8796 Pd
0.0945 0.4651 0.7803 Pd
0.3438 0.7665 0.2824 Pd
0.9045 0.5354 0.1591 Pd
0.1798 0.9204 0.6093 Pd
0.4538 0.2715 0.0599 Pd
0.6553 0.2342 0.6569 Pd
0.2802 0.3352 0.4070 Ga
0.7188 0.6654 0.5324 Ga
0.9996 0.0002 0.9696 Ag
```

Summary:
* calculated volume: 172 Å³ per cell
* crystal system: monoclinic
* SG: C2/m, No. 12
* total magnetic moment: 0.0 Bohr magnetons per cell



Top of the stability list: run P, leading by 37 meV/atom.